*1*
VASP calculation (PBE) on K2Ru after structural relaxation.

Lattice parameters (Å, degrees): 19.8876 3.0169 7.5528 90.00 110.73 90.00
With the nearest neighbours (Å) after each atom.
Space group C2/m (No. 12)
Symmetry-distinct sites (fractional):
K 0.1046 0.0000 0.0975 [4 per cell]  2 K 3.02
K 0.1524 0.0000 0.6430 [4 per cell]  2 K 3.02
Ru 0.0001 0.5000 0.3521 [4 per cell]  1 Ru 2.24

## Properties
Fermi-level density of states in states/eV/atom: 1.037
ρ in Mg/m³: 2.81

=====

*2*
VASP calculation (PBE) on K2Ru after structural relaxation.

Lattice parameters (Å, degrees): 3.4717 36.1903 3.6753 90.00 90.00 90.00
With the nearest neighbours (Å) after each atom.
Space group Cmcm (No. 63)
Symmetry-distinct sites (fractional):
K 0.0000 0.0554 0.2500 [4 per cell]  4 K 3.47-3.68
K 0.0000 0.3298 0.2500 [4 per cell]  4 Ru 3.39-3.41, 4 K 3.47-3.68
Ru 0.0000 0.2512 0.7500 [4 per cell]  4 Ru 2.53

## Properties
Fermi-level density of states in states/eV/atom: 1.101
ρ in Mg/m³: 2.58

=====

From most stable to least stable, the computed energies give *2*, *1*.

=====

*1*
VASP calculation (PBE) on AsPb2Br after structural relaxation.

Lattice parameters (Å, degrees): 4.3527 4.3527 23.5209 90.00 90.00 120.00
With the nearest neighbours (Å) after each atom.
Space group R3m (No. 160, hexagonal axes)
Symmetry-distinct sites (fractional):
As 0.0000 0.0000 0.0000 [3 per cell]  6 Pb 2.95-3.03
Pb 0.0000 0.0000 0.3991 [3 per cell]  3 As 2.95
Pb 0.0000 0.0000 0.5945 [3 per cell]  3 As 3.03, 3 Br 3.20
Br 0.0000 0.0000 0.1767 [3 per cell]  3 Pb 3.20

## Properties
Fermi-level density of states in states/eV/atom: 0.028
ρ in Mg/m³: 7.35

=====

*2*
VASP calculation (PBE) on AsPb2Br after structural relaxation.

Lattice parameters (Å, degrees): 3.7782 3.7076 8.0514 90.00 90.20 90.00
With the nearest neighbours (Å) after each atom.
Space group P2/m (No. 10)
Symmetry-distinct sites (fractional):
As 0.0000 0.0000 0.0000 [1 per cell]  8 Pb 3.19
Pb 0.4976 0.5000 0.7791 [2 per cell]  4 As 3.19, 4 Br 3.46-3.48, 1 Pb 3.56
Br 0.0000 0.0000 0.5000 [1 per cell]  8 Pb 3.46-3.48, 4 Br 3.71-3.78

## Properties
Fermi-level density of states in states/eV/atom: 0.255
ρ in Mg/m³: 8.38

=====

From most stable to least stable, the computed energies give *1*, *2*.